Below is crystalline MnAlGe at its relaxed geometry, with properties calculated at the PBE-GGA level.

Cell and atoms, written as CIF:
```
data_MnAlGe
_symmetry_space_group_name_H-M 'P 1'
_symmetry_Int_Tables_number 1
_cell_length_a 4.181
_cell_length_b 4.181
_cell_length_c 2.815
_cell_angle_alpha 90.00
_cell_angle_beta 90.00
_cell_angle_gamma 120.00
loop_
_symmetry_equiv_pos_as_xyz
'x,y,z'
loop_
_atom_site_label
_atom_site_type_symbol
_atom_site_fract_x
_atom_site_fract_y
_atom_site_fract_z
_atom_site_occupancy
Mn1 Mn 0.000 0.000 0.000 1
Al1 Al 0.333 0.667 0.500 1
Ge1 Ge 0.667 0.333 0.000 1
```

Below is crystalline MnAlGe2 at its relaxed geometry, with properties calculated at the PBE-GGA level.

Cell and atoms, written as CIF:
```
data_MnAlGe2
_symmetry_space_group_name_H-M 'P 1'
_symmetry_Int_Tables_number 1
_cell_length_a 7.930
_cell_length_b 7.930
_cell_length_c 7.930
_cell_angle_alpha 22.36
_cell_angle_beta 22.36
_cell_angle_gamma 22.36
loop_
_symmetry_equiv_pos_as_xyz
'x,y,z'
loop_
_atom_site_label
_atom_site_type_symbol
_atom_site_fract_x
_atom_site_fract_y
_atom_site_fract_z
_atom_site_occupancy
Mn1 Mn 0.000 0.000 0.000 1
Al1 Al 0.165 0.165 0.165 1
Ge1 Ge 0.589 0.589 0.589 1
Ge2 Ge 0.743 0.743 0.743 1
```

Below is crystalline MnAl8Ge2 at its relaxed geometry, with properties calculated at the PBE-GGA level.

Cell and atoms, written as CIF:
```
data_MnAl8Ge2
_symmetry_space_group_name_H-M 'P 1'
_symmetry_Int_Tables_number 1
_cell_length_a 7.465
_cell_length_b 7.465
_cell_length_c 7.465
_cell_angle_alpha 149.79
_cell_angle_beta 117.85
_cell_angle_gamma 70.65
loop_
_symmetry_equiv_pos_as_xyz
'x,y,z'
loop_
_atom_site_label
_atom_site_type_symbol
_atom_site_fract_x
_atom_site_fract_y
_atom_site_fract_z
_atom_site_occupancy
Mn1 Mn 0.000 0.000 0.000 1
Al1 Al 0.095 0.839 0.256 1
Al2 Al 0.173 0.673 0.500 1
Al3 Al 0.224 0.500 0.724 1
Al4 Al 0.417 0.161 0.256 1
Al5 Al 0.583 0.839 0.744 1
Al6 Al 0.776 0.500 0.276 1
Al7 Al 0.827 0.327 0.500 1
Al8 Al 0.905 0.161 0.744 1
Ge1 Ge 0.377 0.377 0.000 1
Ge2 Ge 0.623 0.623 0.000 1
```

Below is crystalline Mn3Al2Ge at its relaxed geometry, with properties calculated at the PBE-GGA level.

Cell and atoms, written as CIF:
```
data_Mn3Al2Ge
_symmetry_space_group_name_H-M 'P 1'
_symmetry_Int_Tables_number 1
_cell_length_a 6.624
_cell_length_b 6.624
_cell_length_c 2.909
_cell_angle_alpha 90.00
_cell_angle_beta 90.00
_cell_angle_gamma 143.48
loop_
_symmetry_equiv_pos_as_xyz
'x,y,z'
loop_
_atom_site_label
_atom_site_type_symbol
_atom_site_fract_x
_atom_site_fract_y
_atom_site_fract_z
_atom_site_occupancy
Mn1 Mn 0.000 0.000 0.000 1
Mn2 Mn 0.345 0.655 0.000 1
Mn3 Mn 0.655 0.345 0.000 1
Al1 Al 0.178 0.822 0.500 1
Al2 Al 0.822 0.178 0.500 1
Ge1 Ge 0.500 0.500 0.500 1
```

Below is crystalline Mn2AlGe2 at its relaxed geometry, with properties calculated at the PBE-GGA level.

Cell and atoms, written as CIF:
```
data_Mn2AlGe2
_symmetry_space_group_name_H-M 'P 1'
_symmetry_Int_Tables_number 1
_cell_length_a 7.027
_cell_length_b 7.027
_cell_length_c 2.791
_cell_angle_alpha 90.00
_cell_angle_beta 90.00
_cell_angle_gamma 90.00
loop_
_symmetry_equiv_pos_as_xyz
'x,y,z'
loop_
_atom_site_label
_atom_site_type_symbol
_atom_site_fract_x
_atom_site_fract_y
_atom_site_fract_z
_atom_site_occupancy
Mn1 Mn 0.152 0.348 0.000 1
Mn2 Mn 0.348 0.848 0.000 1
Mn3 Mn 0.652 0.152 0.000 1
Mn4 Mn 0.848 0.652 0.000 1
Al1 Al 0.000 0.000 0.500 1
Al2 Al 0.500 0.500 0.500 1
Ge1 Ge 0.144 0.644 0.500 1
Ge2 Ge 0.356 0.144 0.500 1
Ge3 Ge 0.644 0.856 0.500 1
Ge4 Ge 0.856 0.356 0.500 1
```

Computed properties:
Excess energy over the best structure of this formula in the dataset (eV/atom): 0.070

Below is crystalline Mn2AlGe at its relaxed geometry, with properties calculated at the PBE-GGA level.

Cell and atoms, written as CIF:
```
data_Mn2AlGe
_symmetry_space_group_name_H-M 'P 1'
_symmetry_Int_Tables_number 1
_cell_length_a 2.799
_cell_length_b 2.799
_cell_length_c 8.305
_cell_angle_alpha 99.51
_cell_angle_beta 99.51
_cell_angle_gamma 59.95
loop_
_symmetry_equiv_pos_as_xyz
'x,y,z'
loop_
_atom_site_label
_atom_site_type_symbol
_atom_site_fract_x
_atom_site_fract_y
_atom_site_fract_z
_atom_site_occupancy
Mn1 Mn 0.000 0.000 0.000 1
Mn2 Mn 0.165 0.165 0.502 1
Al1 Al 0.750 0.750 0.251 1
Ge1 Ge 0.583 0.583 0.752 1
```

Below is crystalline Mn2AlGe2 at its relaxed geometry, with properties calculated at the PBE-GGA level.

Cell and atoms, written as CIF:
```
data_Mn2AlGe2
_symmetry_space_group_name_H-M 'P 1'
_symmetry_Int_Tables_number 1
_cell_length_a 6.502
_cell_length_b 6.502
_cell_length_c 3.332
_cell_angle_alpha 90.00
_cell_angle_beta 90.00
_cell_angle_gamma 90.00
loop_
_symmetry_equiv_pos_as_xyz
'x,y,z'
loop_
_atom_site_label
_atom_site_type_symbol
_atom_site_fract_x
_atom_site_fract_y
_atom_site_fract_z
_atom_site_occupancy
Mn1 Mn 0.147 0.353 0.000 1
Mn2 Mn 0.353 0.853 0.000 1
Mn3 Mn 0.647 0.147 0.000 1
Mn4 Mn 0.853 0.647 0.000 1
Al1 Al 0.000 0.000 0.000 1
Al2 Al 0.500 0.500 0.000 1
Ge1 Ge 0.151 0.651 0.500 1
Ge2 Ge 0.349 0.151 0.500 1
Ge3 Ge 0.651 0.849 0.500 1
Ge4 Ge 0.849 0.349 0.500 1
```

Computed properties:
Excess energy over the best structure of this formula in the dataset (eV/atom): 0.000

Below is crystalline MnAlGe2 at its relaxed geometry, with properties calculated at the PBE-GGA level.

Cell and atoms, written as CIF:
```
data_MnAlGe2
_symmetry_space_group_name_H-M 'P 1'
_symmetry_Int_Tables_number 1
_cell_length_a 5.753
_cell_length_b 5.753
_cell_length_c 5.753
_cell_angle_alpha 102.76
_cell_angle_beta 102.76
_cell_angle_gamma 123.93
loop_
_symmetry_equiv_pos_as_xyz
'x,y,z'
loop_
_atom_site_label
_atom_site_type_symbol
_atom_site_fract_x
_atom_site_fract_y
_atom_site_fract_z
_atom_site_occupancy
Mn1 Mn 0.000 0.000 0.000 1
Mn2 Mn 0.750 0.250 0.500 1
Al1 Al 0.250 0.750 0.500 1
Al2 Al 0.500 0.500 0.000 1
Ge1 Ge 0.110 0.625 0.985 1
Ge2 Ge 0.375 0.360 0.485 1
Ge3 Ge 0.640 0.125 0.015 1
Ge4 Ge 0.875 0.890 0.515 1
```

Below is crystalline MnAlGe at its relaxed geometry, with properties calculated at the PBE-GGA level.

Cell and atoms, written as CIF:
```
data_MnAlGe
_symmetry_space_group_name_H-M 'P 1'
_symmetry_Int_Tables_number 1
_cell_length_a 4.264
_cell_length_b 4.996
_cell_length_c 4.996
_cell_angle_alpha 63.42
_cell_angle_beta 90.00
_cell_angle_gamma 90.00
loop_
_symmetry_equiv_pos_as_xyz
'x,y,z'
loop_
_atom_site_label
_atom_site_type_symbol
_atom_site_fract_x
_atom_site_fract_y
_atom_site_fract_z
_atom_site_occupancy
Mn1 Mn 0.000 0.247 0.753 1
Mn2 Mn 0.000 0.753 0.247 1
Al1 Al 0.000 0.254 0.254 1
Al2 Al 0.500 0.466 0.466 1
Ge1 Ge 0.000 0.747 0.747 1
Ge2 Ge 0.500 0.040 0.040 1
```

Below is crystalline MnAlGe2 at its relaxed geometry, with properties calculated at the PBE-GGA level.

Cell and atoms, written as CIF:
```
data_MnAlGe2
_symmetry_space_group_name_H-M 'P 1'
_symmetry_Int_Tables_number 1
_cell_length_a 8.975
_cell_length_b 8.975
_cell_length_c 8.975
_cell_angle_alpha 18.58
_cell_angle_beta 18.58
_cell_angle_gamma 18.58
loop_
_symmetry_equiv_pos_as_xyz
'x,y,z'
loop_
_atom_site_label
_atom_site_type_symbol
_atom_site_fract_x
_atom_site_fract_y
_atom_site_fract_z
_atom_site_occupancy
Mn1 Mn 0.000 0.000 0.000 1
Al1 Al 0.500 0.500 0.500 1
Ge1 Ge 0.401 0.401 0.401 1
Ge2 Ge 0.599 0.599 0.599 1
```

Below is crystalline Np2MnAl2Ge4 at its relaxed geometry, with properties calculated at the PBE-GGA level.

Cell and atoms, written as CIF:
```
data_Np2MnAl2Ge4
_symmetry_space_group_name_H-M 'P 1'
_symmetry_Int_Tables_number 1
_cell_length_a 6.081
_cell_length_b 6.081
_cell_length_c 6.081
_cell_angle_alpha 118.67
_cell_angle_beta 118.67
_cell_angle_gamma 92.32
loop_
_symmetry_equiv_pos_as_xyz
'x,y,z'
loop_
_atom_site_label
_atom_site_type_symbol
_atom_site_fract_x
_atom_site_fract_y
_atom_site_fract_z
_atom_site_occupancy
Np1 Np 0.250 0.750 0.500 1
Np2 Np 0.750 0.250 0.500 1
Mn1 Mn 0.000 0.000 0.000 1
Al1 Al 0.284 0.284 0.000 1
Al2 Al 0.716 0.716 0.000 1
Ge1 Ge 0.271 0.271 0.542 1
Ge2 Ge 0.271 0.729 0.000 1
Ge3 Ge 0.729 0.271 0.000 1
Ge4 Ge 0.729 0.729 0.458 1
```

Below is crystalline PrMnAlGe2 at its relaxed geometry, with properties calculated at the PBE-GGA level.

Cell and atoms, written as CIF:
```
data_PrMnAlGe2
_symmetry_space_group_name_H-M 'P 1'
_symmetry_Int_Tables_number 1
_cell_length_a 6.443
_cell_length_b 6.443
_cell_length_c 6.443
_cell_angle_alpha 143.09
_cell_angle_beta 143.09
_cell_angle_gamma 53.18
loop_
_symmetry_equiv_pos_as_xyz
'x,y,z'
loop_
_atom_site_label
_atom_site_type_symbol
_atom_site_fract_x
_atom_site_fract_y
_atom_site_fract_z
_atom_site_occupancy
Pr1 Pr 0.000 0.000 0.000 1
Mn1 Mn 0.750 0.250 0.500 1
Al1 Al 0.250 0.750 0.500 1
Ge1 Ge 0.384 0.384 0.000 1
Ge2 Ge 0.616 0.616 0.000 1
```

Formation energy from the elements, respectively: 0.10 0.16 0.01 -0.14 0.10 -0.02 0.03 0.26 -0.11 0.07 -0.17 -0.46 eV/atom.